(1)
Sr3AlCd8: optimized geometry, PBE.

abc: 6.158 6.158 10.536
angles: 73.01 73.01 60.00
Fractional positions:
Sr (0.377, 0.377, 0.870)
Sr (0.992, 0.992, 0.023)
Sr (0.505, 0.505, 0.486)
Al (0.869, 0.869, 0.393)
Cd (0.937, 0.437, 0.188)
Cd (0.441, 0.939, 0.681)
Cd (0.437, 0.437, 0.188)
Cd (0.939, 0.939, 0.681)
Cd (0.189, 0.189, 0.434)
Cd (0.688, 0.688, 0.936)
Cd (0.437, 0.937, 0.188)
Cd (0.939, 0.441, 0.681)

Its energy is -18.33 eV/cell. For the density of states at the Fermi level, the calculation gives 0.47 states/eV/atom. Its energy of formation is -214.6 kJ/mol of formula units.

=====

(2)
FeMoN3: optimized geometry, PBE.

abc: 3.608 3.608 3.608
angles: 90.00 90.00 90.00
Fractional positions:
Mo (0.500, 0.500, 0.500)
Fe (0.000, 0.000, 0.000)
N (0.000, 0.500, 0.000)
N (0.000, 0.000, 0.500)
N (0.500, 0.000, 0.000)

Its energy is -38.98 eV/cell. The formation energy without anion corrections is 1057 meV/atom. For the density of states at the Fermi level, the calculation gives 0.72 states/eV/atom.

=====

(3)
SrTa2W: optimized geometry, PBE.

abc: 3.296 4.930 4.930
angles: 90.00 90.00 90.00
Fractional positions:
Sr (0.500, 0.000, 0.500)
Ta (0.000, 0.000, 0.000)
Ta (0.000, 0.500, 0.500)
W (0.500, 0.500, 0.000)

Its energy is -33.72 eV/cell. The offset from the most stable computed form is 583.8 meV per atom. For the density of states at the Fermi level, the calculation gives 0.89 states/eV/atom. Its energy of formation is 445.7 kJ/mol of formula units.

=====

(4)
Dy2Ho2Th5: optimized geometry, PBE.

abc: 5.000 6.191 10.673
angles: 73.47 76.45 66.18
Fractional positions:
Dy (0.334, 0.776, 0.556)
Dy (0.666, 0.224, 0.444)
Ho (0.333, 0.444, 0.890)
Ho (0.667, 0.556, 0.110)
Th (0.335, 0.107, 0.223)
Th (0.665, 0.893, 0.777)
Th (0.000, 0.669, 0.331)
Th (0.000, 0.331, 0.669)
Th (0.000, 0.000, 0.000)

Its energy is -54.99 eV/cell. For the density of states at the Fermi level, the calculation gives 1.61 states/eV/atom. Its energy of formation is 44.8 kJ/mol of formula units.